# 1
Co2Ni | PBE-GGA | optimized geometry

Unit cell a=4.035 b=4.035 c=2.463 alpha=90.00 beta=90.00 gamma=90.00
Fractional positions:
Co 0.000 0.500 0.000
Co 0.500 0.000 0.000
Ni 0.000 0.000 0.500

Calculated values
* calculated formation energy: 0.59 eV/atom
* magnetization: 1.44 μB/atom

# 2
Co13Ni3 | PBE-GGA | optimized geometry

Unit cell a=4.999 b=5.903 c=5.903 alpha=86.07 beta=90.00 gamma=90.00
Fractional positions:
Co 0.000 0.000 0.000
Co 0.000 0.083 0.581
Co 0.000 0.499 0.499
Co 0.000 0.581 0.083
Co 0.250 0.332 0.833
Co 0.250 0.833 0.332
Co 0.251 0.250 0.250
Co 0.500 0.000 0.000
Co 0.500 0.083 0.582
Co 0.500 0.582 0.083
Co 0.749 0.250 0.250
Co 0.750 0.332 0.833
Co 0.750 0.833 0.332
Ni 0.250 0.750 0.750
Ni 0.500 0.499 0.499
Ni 0.750 0.750 0.750

Calculated values
* calculated formation energy: -0.01 eV/atom
* magnetization: 1.43 μB/atom

# 3
Co5Ni | PBE-GGA | optimized geometry

Unit cell a=4.580 b=4.580 c=4.046 alpha=90.00 beta=90.00 gamma=120.00
Fractional positions:
Co 0.000 0.500 0.000
Co 0.333 0.667 0.500
Co 0.500 0.000 0.000
Co 0.500 0.500 0.000
Co 0.667 0.333 0.500
Ni 0.000 0.000 0.500

Calculated values
* calculated formation energy: 0.37 eV/atom
* offset from the most stable computed form: 384 meV per atom
* magnetization: 1.58 μB/atom

# 4
Co3Ni5 | PBE-GGA | optimized geometry

Unit cell a=4.975 b=3.518 c=5.541 alpha=90.00 beta=116.05 gamma=90.00
Fractional positions:
Co 0.000 0.000 0.000
Co 0.121 0.500 0.747
Co 0.879 0.500 0.253
Ni 0.247 0.000 0.497
Ni 0.373 0.500 0.246
Ni 0.500 0.000 0.000
Ni 0.627 0.500 0.754
Ni 0.753 0.000 0.503

Calculated values
* calculated formation energy: 0.00 eV/atom
* magnetization: 1.05 μB/atom

# 5
CoNi3 | PBE-GGA | optimized geometry

Unit cell a=2.476 b=2.476 c=14.178 alpha=90.00 beta=90.00 gamma=90.00
Fractional positions:
Co 0.250 0.250 0.062
Co 0.750 0.750 0.938
Ni 0.250 0.250 0.313
Ni 0.250 0.250 0.562
Ni 0.250 0.250 0.813
Ni 0.750 0.750 0.187
Ni 0.750 0.750 0.438
Ni 0.750 0.750 0.687

Calculated values
* calculated formation energy: 0.00 eV/atom
* magnetization: 0.86 μB/atom

# 6
Co2Ni | PBE-GGA | optimized geometry

Unit cell a=7.888 b=3.519 c=4.973 alpha=90.00 beta=108.72 gamma=90.00
Fractional positions:
Co 0.000 0.000 0.000
Co 0.000 0.000 0.500
Co 0.167 0.500 0.335
Co 0.333 0.000 0.665
Co 0.500 0.500 0.000
Co 0.500 0.500 0.500
Co 0.667 0.000 0.335
Co 0.833 0.500 0.665
Ni 0.167 0.500 0.833
Ni 0.333 0.000 0.167
Ni 0.667 0.000 0.833
Ni 0.833 0.500 0.167

Calculated values
* calculated formation energy: 0.00 eV/atom
* magnetization: 1.32 μB/atom

# 7
Co5Ni | PBE-GGA | optimized geometry

Unit cell a=7.849 b=3.535 c=4.965 alpha=90.00 beta=108.16 gamma=90.00
Fractional positions:
Co 0.000 0.000 0.000
Co 0.166 0.500 0.333
Co 0.167 0.500 0.833
Co 0.333 0.000 0.167
Co 0.334 0.000 0.667
Co 0.500 0.500 0.000
Co 0.666 0.000 0.333
Co 0.667 0.000 0.833
Co 0.833 0.500 0.167
Co 0.834 0.500 0.667
Ni 0.000 0.000 0.500
Ni 0.500 0.500 0.500

Calculated values
* calculated formation energy: 0.01 eV/atom
* offset from the most stable computed form: 18 meV per atom
* magnetization: 1.48 μB/atom

# 8
CoNi3 | PBE-GGA | optimized geometry

Unit cell a=2.491 b=2.491 c=8.115 alpha=90.00 beta=90.00 gamma=120.00
Fractional positions:
Co 0.000 0.000 0.000
Ni 0.000 0.000 0.500
Ni 0.333 0.667 0.247
Ni 0.333 0.667 0.753

Calculated values
* calculated formation energy: 0.00 eV/atom
* magnetization: 0.93 μB/atom

# 9
Co4Ni5 | PBE-GGA | optimized geometry

Unit cell a=6.900 b=6.900 c=4.857 alpha=90.00 beta=90.00 gamma=120.00
Fractional positions:
Co 0.000 0.000 0.000
Co 0.000 0.000 0.500
Co 0.000 0.331 0.250
Co 0.000 0.669 0.750
Co 0.331 0.000 0.250
Co 0.331 0.331 0.750
Co 0.669 0.000 0.750
Co 0.669 0.669 0.250
Ni 0.000 0.334 0.750
Ni 0.000 0.666 0.250
Ni 0.333 0.667 0.000
Ni 0.333 0.667 0.500
Ni 0.334 0.000 0.750
Ni 0.334 0.334 0.250
Ni 0.666 0.000 0.250
Ni 0.666 0.666 0.750
Ni 0.667 0.333 0.000
Ni 0.667 0.333 0.500

Calculated values
* calculated formation energy: 0.12 eV/atom
* offset from the most stable computed form: 129 meV per atom
* magnetization: 1.16 μB/atom

# 10
CoNi2 | PBE-GGA | optimized geometry

Unit cell a=5.380 b=5.380 c=5.380 alpha=90.00 beta=90.00 gamma=90.00
Fractional positions:
Co 0.000 0.000 0.000
Co 0.000 0.500 0.500
Co 0.500 0.000 0.500
Co 0.500 0.500 0.000
Ni 0.250 0.250 0.250
Ni 0.250 0.250 0.750
Ni 0.250 0.750 0.250
Ni 0.250 0.750 0.750
Ni 0.750 0.250 0.250
Ni 0.750 0.250 0.750
Ni 0.750 0.750 0.250
Ni 0.750 0.750 0.750

Calculated values
* calculated formation energy: 0.49 eV/atom
* magnetization: 1.09 μB/atom

# 11
Co3Ni | PBE-GGA | optimized geometry

Unit cell a=7.979 b=7.979 c=2.418 alpha=90.00 beta=90.00 gamma=120.00
Fractional positions:
Co 0.000 0.500 0.000
Co 0.167 0.333 0.333
Co 0.167 0.833 0.333
Co 0.333 0.167 0.667
Co 0.500 0.000 0.000
Co 0.500 0.500 0.000
Co 0.667 0.833 0.333
Co 0.833 0.167 0.667
Co 0.833 0.667 0.667
Ni 0.000 0.000 0.000
Ni 0.333 0.667 0.667
Ni 0.667 0.333 0.333

Calculated values
* calculated formation energy: 0.10 eV/atom
* magnetization: 1.51 μB/atom

# 12
CoNi2 | PBE-GGA | optimized geometry

Unit cell a=2.485 b=2.485 c=6.114 alpha=90.00 beta=90.00 gamma=120.00
Fractional positions:
Co 0.000 0.000 0.000
Ni 0.333 0.667 0.331
Ni 0.667 0.333 0.669

Calculated values
* calculated formation energy: 0.00 eV/atom
* magnetization: 1.01 μB/atom